DFT (PBE) results for a relaxed structure of CoHgCl. Values from VASP.

Results
calculated total energy: -0.0967 hartree per atom
raw formation energy: 0.453 eV/atom
space group: F-43m
ΔE to the lowest computed polymorph: 465 meV/atom

```
&SYSTEM
  ibrav = 0, nat = 3, ntyp = 3
/
ATOMIC_SPECIES
Co 58.93 Co.upf
Hg 200.59 Hg.upf
Cl 35.45 Cl.upf
ATOMIC_POSITIONS crystal
Co 0.000 0.000 0.000
Hg 0.750 0.750 0.750
Cl 0.250 0.250 0.250
CELL_PARAMETERS angstrom
0.000 3.197 3.197
3.197 0.000 3.197
3.197 3.197 0.000
```

***

DFT (PBE) results for a relaxed structure of CoHgCl2. Values from VASP.

Results
calculated total energy: -0.1048 hartree per atom
raw formation energy: -0.075 eV/atom
space group: Cmm2
ΔE to the lowest computed polymorph: 320 meV/atom

```
&SYSTEM
  ibrav = 0, nat = 4, ntyp = 3
/
ATOMIC_SPECIES
Co 58.93 Co.upf
Hg 200.59 Hg.upf
Cl 35.45 Cl.upf
ATOMIC_POSITIONS crystal
Co 0.000 0.000 0.000
Hg 0.500 0.500 0.772
Cl 0.000 0.000 0.549
Cl 0.500 0.500 0.158
CELL_PARAMETERS angstrom
1.676 -3.381 0.000
1.676 3.381 0.000
0.000 0.000 8.757
```

***

DFT (PBE) results for a relaxed structure of CoHgCl2. Values from VASP.

Results
calculated total energy: -0.0888 hartree per atom
raw formation energy: 0.359 eV/atom
space group: Fm-3m
ΔE to the lowest computed polymorph: 754 meV/atom

```
&SYSTEM
  ibrav = 0, nat = 4, ntyp = 3
/
ATOMIC_SPECIES
Co 58.93 Co.upf
Hg 200.59 Hg.upf
Cl 35.45 Cl.upf
ATOMIC_POSITIONS crystal
Co 0.000 0.000 0.000
Hg 0.500 0.500 0.500
Cl 0.250 0.250 0.250
Cl 0.750 0.750 0.750
CELL_PARAMETERS angstrom
0.000 3.461 3.461
3.461 0.000 3.461
3.461 3.461 0.000
```

***

DFT (PBE) results for a relaxed structure of KCoHgCl5. Values from VASP.

Results
calculated total energy: -0.1155 hartree per atom
raw formation energy: -0.926 eV/atom
space group: C2/c

```
&SYSTEM
  ibrav = 0, nat = 16, ntyp = 4
/
ATOMIC_SPECIES
K 39.10 K.upf
Co 58.93 Co.upf
Hg 200.59 Hg.upf
Cl 35.45 Cl.upf
ATOMIC_POSITIONS crystal
K 0.147 0.853 0.750
K 0.853 0.147 0.250
Co 0.185 0.815 0.250
Co 0.815 0.185 0.750
Hg 0.500 0.500 0.000
Hg 0.500 0.500 0.500
Cl 0.096 0.245 0.935
Cl 0.170 0.587 0.375
Cl 0.245 0.096 0.435
Cl 0.413 0.587 0.750
Cl 0.413 0.830 0.125
Cl 0.587 0.170 0.875
Cl 0.587 0.413 0.250
Cl 0.755 0.904 0.565
Cl 0.830 0.413 0.625
Cl 0.904 0.755 0.065
CELL_PARAMETERS angstrom
4.479 -5.974 0.000
4.479 5.974 0.000
-3.490 0.000 8.637
```

***

DFT (PBE) results for a relaxed structure of KCo2HgCl8. Values from VASP.

Results
calculated total energy: -0.1216 hartree per atom
raw formation energy: -0.778 eV/atom
space group: R-3

```
&SYSTEM
  ibrav = 0, nat = 12, ntyp = 4
/
ATOMIC_SPECIES
K 39.10 K.upf
Co 58.93 Co.upf
Hg 200.59 Hg.upf
Cl 35.45 Cl.upf
ATOMIC_POSITIONS crystal
K 0.000 0.000 0.000
Co 0.248 0.248 0.248
Co 0.752 0.752 0.752
Hg 0.500 0.500 0.500
Cl 0.099 0.786 0.442
Cl 0.214 0.558 0.901
Cl 0.326 0.326 0.326
Cl 0.442 0.099 0.786
Cl 0.558 0.901 0.214
Cl 0.674 0.674 0.674
Cl 0.786 0.442 0.099
Cl 0.901 0.214 0.558
CELL_PARAMETERS angstrom
3.214 1.856 9.380
-3.214 1.856 9.380
0.000 -3.711 9.380
```

***

DFT (PBE) results for a relaxed structure of KCoHgCl6. Values from VASP.

Results
calculated total energy: -0.1122 hartree per atom
raw formation energy: -0.876 eV/atom
space group: C2

```
&SYSTEM
  ibrav = 0, nat = 9, ntyp = 4
/
ATOMIC_SPECIES
K 39.10 K.upf
Co 58.93 Co.upf
Hg 200.59 Hg.upf
Cl 35.45 Cl.upf
ATOMIC_POSITIONS crystal
K 0.000 0.000 0.000
Co 0.419 0.581 0.500
Hg 0.673 0.327 0.500
Cl 0.025 0.675 0.758
Cl 0.048 0.351 0.321
Cl 0.325 0.975 0.242
Cl 0.378 0.376 0.706
Cl 0.624 0.622 0.294
Cl 0.649 0.952 0.679
CELL_PARAMETERS angstrom
2.858 -8.150 0.000
2.858 8.150 0.000
-1.812 0.000 6.716
```

***

DFT (PBE) results for a relaxed structure of La3CoHgCl. Values from VASP.

Results
calculated total energy: -0.1711 hartree per atom
raw formation energy: -0.649 eV/atom
space group: P2_1/m

```
&SYSTEM
  ibrav = 0, nat = 12, ntyp = 4
/
ATOMIC_SPECIES
La 138.91 La.upf
Co 58.93 Co.upf
Hg 200.59 Hg.upf
Cl 35.45 Cl.upf
ATOMIC_POSITIONS crystal
La 0.070 0.250 0.370
La 0.210 0.250 0.916
La 0.380 0.750 0.606
La 0.620 0.250 0.394
La 0.790 0.750 0.084
La 0.930 0.750 0.630
Co 0.163 0.250 0.645
Co 0.837 0.750 0.355
Hg 0.254 0.750 0.227
Hg 0.746 0.250 0.773
Cl 0.410 0.750 0.911
Cl 0.590 0.250 0.089
CELL_PARAMETERS angstrom
7.809 0.000 0.000
0.000 4.861 0.000
-1.894 0.000 9.205
```

***

DFT (PBE) results for a relaxed structure of La5CoHg2Cl. Values from VASP.

Results
calculated total energy: -0.1623 hartree per atom
raw formation energy: -0.617 eV/atom
space group: Cmc2_1

```
&SYSTEM
  ibrav = 0, nat = 18, ntyp = 4
/
ATOMIC_SPECIES
La 138.91 La.upf
Co 58.93 Co.upf
Hg 200.59 Hg.upf
Cl 35.45 Cl.upf
ATOMIC_POSITIONS crystal
La 0.001 0.999 0.500
La 0.119 0.881 0.249
La 0.194 0.806 0.898
La 0.196 0.804 0.599
La 0.452 0.548 0.251
La 0.548 0.452 0.751
La 0.804 0.196 0.099
La 0.806 0.194 0.398
La 0.881 0.119 0.749
La 0.999 0.001 0.000
Co 0.065 0.935 0.743
Co 0.935 0.065 0.243
Hg 0.380 0.620 0.938
Hg 0.382 0.618 0.558
Hg 0.618 0.382 0.058
Hg 0.620 0.380 0.438
Cl 0.283 0.717 0.249
Cl 0.717 0.283 0.749
CELL_PARAMETERS angstrom
2.452 -8.962 0.000
2.452 8.962 0.000
0.000 0.000 11.907
```

***

DFT (PBE) results for a relaxed structure of La6Co2HgCl3. Values from VASP.

Results
calculated total energy: -0.1861 hartree per atom
raw formation energy: -0.929 eV/atom
space group: C2/m

```
&SYSTEM
  ibrav = 0, nat = 12, ntyp = 4
/
ATOMIC_SPECIES
La 138.91 La.upf
Co 58.93 Co.upf
Hg 200.59 Hg.upf
Cl 35.45 Cl.upf
ATOMIC_POSITIONS crystal
La 0.039 0.039 0.280
La 0.311 0.311 0.422
La 0.336 0.336 0.879
La 0.664 0.664 0.121
La 0.689 0.689 0.578
La 0.961 0.961 0.720
Co 0.171 0.171 0.344
Co 0.829 0.829 0.656
Hg 0.500 0.500 0.000
Cl 0.177 0.177 0.850
Cl 0.500 0.500 0.500
Cl 0.823 0.823 0.150
CELL_PARAMETERS angstrom
10.076 -2.059 0.000
10.076 2.059 0.000
-2.651 0.000 8.625
```

***

DFT (PBE) results for a relaxed structure of Na2CoHgCl. Values from VASP.

Results
calculated total energy: -0.0880 hartree per atom
raw formation energy: -0.017 eV/atom
space group: P4/mmm

```
&SYSTEM
  ibrav = 0, nat = 5, ntyp = 4
/
ATOMIC_SPECIES
Na 22.99 Na.upf
Co 58.93 Co.upf
Hg 200.59 Hg.upf
Cl 35.45 Cl.upf
ATOMIC_POSITIONS crystal
Na 0.000 0.500 0.000
Na 0.500 0.000 0.000
Co 0.000 0.000 0.000
Hg 0.500 0.500 0.500
Cl 0.000 0.000 0.500
CELL_PARAMETERS angstrom
5.617 0.000 0.000
0.000 5.617 0.000
0.000 0.000 4.123
```

***

DFT (PBE) results for a relaxed structure of Na2CoHgCl6. Values from VASP.

Results
calculated total energy: -0.1135 hartree per atom
raw formation energy: -0.975 eV/atom
space group: P1

```
&SYSTEM
  ibrav = 0, nat = 10, ntyp = 4
/
ATOMIC_SPECIES
Na 22.99 Na.upf
Co 58.93 Co.upf
Hg 200.59 Hg.upf
Cl 35.45 Cl.upf
ATOMIC_POSITIONS crystal
Na 0.000 0.000 0.000
Na 0.023 0.511 0.533
Co 0.609 0.305 0.914
Hg 0.594 0.797 0.391
Cl 0.062 0.416 0.154
Cl 0.153 0.185 0.690
Cl 0.505 0.968 0.689
Cl 0.509 0.093 0.155
Cl 0.722 0.538 0.689
Cl 0.739 0.647 0.155
CELL_PARAMETERS angstrom
6.773 0.000 0.000
-3.385 5.872 0.000
-3.386 -1.958 5.851
```

***

DFT (PBE) results for a relaxed structure of CoHgP2Cl. Values from VASP.

Results
calculated total energy: -0.1351 hartree per atom
raw formation energy: 0.339 eV/atom
space group: P4/mmm
ΔE to the lowest computed polymorph: 0 meV/atom

```
&SYSTEM
  ibrav = 0, nat = 5, ntyp = 4
/
ATOMIC_SPECIES
Co 58.93 Co.upf
Hg 200.59 Hg.upf
P 30.97 P.upf
Cl 35.45 Cl.upf
ATOMIC_POSITIONS crystal
Co 0.000 0.000 0.000
Hg 0.500 0.500 0.500
P 0.000 0.500 0.000
P 0.500 0.000 0.000
Cl 0.000 0.000 0.500
CELL_PARAMETERS angstrom
4.328 0.000 0.000
0.000 4.328 0.000
0.000 0.000 5.195
```